Record 1
5
Lattice="-0.8959 -0.5845 -4.5310 -3.6208 -4.3247 1.2738 -3.5175 3.0346 0.3041" Properties=species:S:1:pos:R:3 comment="ScSi2PtI | the Alexandria database | PBE | optimized geometry" density_g_cm3=5.61 magnetic_moment_mub_per_atom=0.001 formation_energy_uncorrected_mev_per_atom=368 pbc="T T T"
Sc -4.0171 -0.9373 -1.4766
Si -0.4479 -0.2922 -2.2655
Si -1.7587 1.5173 0.1520
Pt 0.0000 0.0000 0.0000
I -1.8104 -2.1623 0.6369

=====

Record 2
6
Lattice="3.8796 0.0000 -1.0327 -0.2878 3.8041 -1.0811 0.4800 0.7000 9.6070" Properties=species:S:1:pos:R:3 comment="Y2CdAg3 | the Alexandria database | PBE | optimized geometry" density_g_cm3=6.94 magnetic_moment_mub_per_atom=0.000 e_form_mev_per_atom=-185 relative_energy_mev_per_atom=93 pbc="T T T"
Ag 1.2179 3.4590 4.5754
Y 0.5973 0.6829 2.2438
Cd 1.9165 4.2577 7.1999
Ag 2.7155 2.9535 2.3979
Ag 2.0411 2.1824 -0.1356
Y 3.5832 1.8790 5.6577

=====

Record 3
5
Lattice="-4.7543 -2.4683 -0.5263 2.2267 -4.6308 1.6034 -0.9998 1.0086 4.3015" Properties=species:S:1:pos:R:3 comment="SrIN2F | the Alexandria database | PBE | optimized geometry" density_g_cm3=3.31 magnetic_moment_mub_per_atom=1.035 formation_energy_uncorrected_mev_per_atom=531 relative_energy_mev_per_atom=434 pbc="T T T"
N -2.3772 -1.2342 -0.2631
N 1.1133 -2.3154 0.8017
Sr 0.0000 0.0000 0.0000
I -1.7637 -3.0452 2.6893
F -0.4999 0.5043 2.1508